# PBE with a Hubbard U Ba2UCr3O12, optimized geometry
data_Ba2UCr3O12
_chemical_formula_sum 'Ba2 U1 Cr3 O12'
_symmetry_space_group_name_H-M 'P 1'
_symmetry_Int_Tables_number 1
_cell_length_a 7.3058
_cell_length_b 7.3058
_cell_length_c 7.3058
_cell_angle_alpha 57.22
_cell_angle_beta 57.22
_cell_angle_gamma 57.22
loop_
_symmetry_equiv_pos_as_xyz
'x,y,z'
loop_
_atom_site_label
_atom_site_type_symbol
_atom_site_fract_x
_atom_site_fract_y
_atom_site_fract_z
Ba1 Ba 0.6259 0.6259 0.6259
Ba2 Ba 0.3741 0.3741 0.3741
U1 U 0.0000 0.0000 0.0000
Cr1 Cr 0.5000 0.0000 0.0000
Cr2 Cr 0.0000 0.5000 0.0000
Cr3 Cr 0.0000 0.0000 0.5000
O1 O 0.3029 0.3029 0.9242
O2 O 0.9083 0.9083 0.3569
O3 O 0.3569 0.9083 0.9083
O4 O 0.9242 0.3029 0.3029
O5 O 0.9083 0.3569 0.9083
O6 O 0.3029 0.9242 0.3029
O7 O 0.6971 0.6971 0.0758
O8 O 0.0917 0.0917 0.6431
O9 O 0.6431 0.0917 0.0917
O10 O 0.0758 0.6971 0.6971
O11 O 0.0917 0.6431 0.0917
O12 O 0.6971 0.0758 0.6971
# **E_tot**: -133.7 eV for the cell shown
# **Volume**: 14.34 Å³/atom
# **Total magnetic moment**: 4.00 μB/f.u.
# **Density of states at the Fermi level**: 0.187 states/eV/atom